Below is a relaxed structure of Hf4TlP, with properties calculated at the PBE level.

abc: 7.7391 5.8054 6.3462
angles: 90.00 102.26 90.00
Fractional positions:
Hf  0.1748  0.2152  0.3198
Hf  0.1748  0.2848  0.8198
Hf  0.2320  0.6977  0.1253
Hf  0.2320  0.8023  0.6253
Hf  0.7680  0.1977  0.3747
Hf  0.7680  0.3023  0.8747
Hf  0.8252  0.7152  0.1802
Hf  0.8252  0.7848  0.6802
Tl  0.5000  0.0000  0.0000
Tl  0.5000  0.5000  0.5000
P  0.0000  0.0000  0.0000
P  0.0000  0.5000  0.5000

Symmetry: P2_1/c (14)
Volume in Å³ per atom: 23.2
Spin magnetization in μB/cell: 0.0
Energy of formation from the pure elements in eV per formula unit: -0.36


Below is a relaxed structure of Hf3TlP, with properties calculated at the PBE level.

abc: 5.2392 5.2392 5.2392
angles: 90.00 90.00 90.00
Fractional positions:
Hf  0.0000  0.0000  0.5000
Hf  0.0000  0.5000  0.0000
Hf  0.5000  0.0000  0.0000
Tl  0.0000  0.0000  0.0000
P  0.5000  0.5000  0.5000

Symmetry: Pm-3m (221)
Volume in Å³ per atom: 28.8
Spin magnetization in μB/cell: 0.0
Energy of formation from the pure elements in eV per formula unit: 7.85


Q: energy of formation from the pure elements of number 2 (Hf3TlP)?
A: 7.85 eV per formula unit


Q: Which formula does entry 1 have?
A: Hf4TlP


Q: Number 1 is which compound?
A: Hf4TlP


Q: Which value of spin magnetization does entry 1 give?
A: 0.0 μB/cell